The following is a GGA-PBE calculation of a relaxed structure of Li2MnCr, from Alexandria.

Results
Space group = Cmm2 (35)
E_form = 272 meV/atom
D(E_F) = 3.47 states/eV per cell
Energy = -5.383 eV per atom

Lattice parameters (Å, degrees): 2.4751 2.4751 9.0211 90.00 90.00 111.41
With the nearest neighbours (Å) after each atom.
Positions (direct):
1 Mn 0.0000 0.0000 0.5181  2 Cr 2.34, 4 Mn 2.48
2 Cr 0.5000 0.5000 0.7264  2 Mn 2.34, 4 Cr 2.48
3 Li 0.5000 0.5000 0.2715  4 Li 2.48, 2 Mn 2.63
4 Li 0.0000 0.0000 0.9840  4 Li 2.48, 2 Cr 2.71

***

The following is a GGA-PBE calculation of a relaxed structure of TaAl2Tl, from Alexandria.

Results
Space group = C2/m (12)
E_form = 230 meV/atom
D(E_F) = 1.53 states/eV per cell
Energy = -5.196 eV per atom

Lattice parameters (Å, degrees): 5.1862 5.1862 5.2385 83.60 83.60 33.28
With the nearest neighbours (Å) after each atom.
Positions (direct):
1 Al 0.4867 0.4867 0.5382  4 Al 2.71-2.97, 3 Ta 2.89-2.96, 1 Tl 2.94
2 Al 0.0133 0.0133 0.9618  4 Al 2.71-2.97, 3 Ta 2.89-2.96, 1 Tl 2.94
3 Tl 0.2500 0.2500 0.2500  6 Al 2.94-3.23, 2 Tl 2.97, 4 Ta 3.01
4 Ta 0.7500 0.7500 0.7500  6 Al 2.89-2.96, 2 Ta 2.97, 4 Tl 3.01

***

The following is a GGA-PBE calculation of a relaxed structure of Ca2Te2Ir, from Alexandria.

Results
Space group = I4/mmm (139)
Energy relative to the elements, uncorrected = -0.53 eV/atom
D(E_F) = 5.68 states/eV per cell
Energy = -4.356 eV per atom

Lattice parameters (Å, degrees): 6.0956 6.0956 6.1228 60.15 60.15 90.00
With the nearest neighbours (Å) after each atom.
Positions (direct):
1 Te 0.2970 0.2970 0.4060  1 Ir 2.58
2 Te 0.7030 0.7030 0.5940  1 Ir 2.58
3 Ir 0.0000 0.0000 0.0000  2 Te 2.58
4 Ca 0.2500 0.7500 0.5000  4 Te 3.08
5 Ca 0.7500 0.2500 0.5000  4 Te 3.08

***

The following is a GGA-PBE calculation of a relaxed structure of SrBeAu, from Alexandria.

Results
Space group = F-43m (216)
E_form = 533 meV/atom
D(E_F) = 2.60 states/eV per cell
Energy = -2.362 eV per atom

Lattice parameters (Å, degrees): 5.0393 5.0393 5.0393 60.00 60.00 60.00
With the nearest neighbours (Å) after each atom.
Positions (direct):
1 Be 0.5000 0.5000 0.5000  4 Sr 3.09
2 Sr 0.2500 0.2500 0.2500  4 Be 3.09, 4 Au 3.09
3 Au 0.0000 0.0000 0.0000  4 Sr 3.09

***

The following is a GGA-PBE calculation of a relaxed structure of BaPrSe2, from Alexandria.

Results
Space group = R-3m (166)
Energy relative to the elements, uncorrected = -1.92 eV/atom
D(E_F) = 1.81 states/eV per cell
Energy = -5.338 eV per atom

Lattice parameters (Å, degrees): 4.4117 4.4117 7.8998 73.79 73.79 60.00
With the nearest neighbours (Å) after each atom.
Positions (direct):
1 Pr 0.0000 0.0000 0.0000  6 Se 3.05
2 Se 0.2583 0.2583 0.2252  3 Pr 3.05, 3 Ba 3.27
3 Se 0.7417 0.7417 0.7748  3 Pr 3.05, 3 Ba 3.27
4 Ba 0.5000 0.5000 0.5000  6 Se 3.27

***

The following is a GGA-PBE calculation of a relaxed structure of PuTiTlCd, from Alexandria.

Results
Space group = F-43m (216)
E_form = 146 meV/atom
D(E_F) = 10.09 states/eV per cell
Energy = -6.231 eV per atom

Lattice parameters (Å, degrees): 5.1305 5.1305 5.1305 60.00 60.00 60.00
With the nearest neighbours (Å) after each atom.
Positions (direct):
1 Cd 0.7500 0.7500 0.7500  4 Pu 3.14, 4 Ti 3.14
2 Ti 0.0000 0.0000 0.0000  4 Cd 3.14, 4 Tl 3.14
3 Pu 0.5000 0.5000 0.5000  4 Tl 3.14, 4 Cd 3.14
4 Tl 0.2500 0.2500 0.2500  4 Pu 3.14, 4 Ti 3.14

***

The following is a GGA-PBE calculation of a relaxed structure of SrTa2Tc, from Alexandria.

Results
Space group = Pmm2 (25)
E_form = 461 meV/atom
D(E_F) = 4.46 states/eV per cell
Energy = -8.478 eV per atom

Lattice parameters (Å, degrees): 3.3392 3.8328 7.3280 90.00 90.00 90.00
With the nearest neighbours (Å) after each atom.
Positions (direct):
1 Ta 0.5000 0.5000 0.2611  4 Tc 2.77, 4 Ta 2.85
2 Ta 0.0000 0.0000 0.0852  1 Tc 2.40
3 Sr 0.5000 0.5000 0.7410  2 Sr 3.34, 4 Tc 3.50, 5 Ta 3.52-3.58
4 Tc 0.0000 0.0000 0.4127  1 Ta 2.40